1.
Below is a relaxed Cr2Cu crystal, with properties calculated at the PBE-GGA level.

Cell lengths 2.5179, 3.9530, 15.4154 Å; angles 90.00, 90.00, 90.00 degrees
Space group Imma (No. 74)
One atom of each set of equivalent atoms:
Cr (0.0000, 0.2500, 0.0357) [4 per cell]
Cr (0.0000, 0.2500, 0.1923) [4 per cell]
Cu (0.0000, 0.2500, 0.6201) [4 per cell]

Values from the calculation:
formation enthalpy at 0 K: 639 meV/atom

---

2.
Below is a relaxed CuWSe crystal, with properties calculated at the PBE-GGA level.

Cell lengths 4.7621, 3.2293, 6.6836 Å; angles 90.00, 105.87, 90.00 degrees
Space group P2_1/m (No. 11)
One atom of each set of equivalent atoms:
Cu (0.2415, 0.2500, 0.1747) [2 per cell]
W (0.2639, 0.7500, 0.5124) [2 per cell]
Se (0.2029, 0.2500, 0.7971) [2 per cell]

Values from the calculation:
ΔE_f (raw): 0.13 eV/atom
energy above the most stable polymorph in this dataset: 31 meV per atom

---

3.
Below is a relaxed SrTcF3 crystal, with properties calculated at the PBE-GGA level.

Cell lengths 4.3194, 4.3194, 4.3194 Å; angles 90.00, 90.00, 90.00 degrees
Space group Pm-3m (No. 221)
One atom of each set of equivalent atoms:
Sr (0.0000, 0.0000, 0.0000) [1 per cell]
Tc (0.5000, 0.5000, 0.5000) [1 per cell]
F (0.0000, 0.5000, 0.5000) [3 per cell]

Values from the calculation:
ΔE_f (raw): -1.64 eV/atom
energy above the most stable polymorph in this dataset: 72 meV per atom

---

4.
Below is a relaxed AlH8C3NCl2 crystal, with properties calculated at the PBE-GGA level.

Cell lengths 7.2771, 7.5854, 8.4348 Å; angles 88.77, 67.23, 69.64 degrees
Space group P-1 (No. 2)
One atom of each set of equivalent atoms:
Al (0.0601, 0.1322, 0.3978) [2 per cell]
H (0.0876, 0.6468, 0.2315) [2 per cell]
H (0.1118, 0.1221, 0.7283) [2 per cell]
H (0.1457, 0.8267, 0.1026) [2 per cell]
H (0.3158, 0.3425, 0.8759) [2 per cell]
H (0.3724, 0.5896, 0.3357) [2 per cell]
H (0.4076, 0.7829, 0.4167) [2 per cell]
H (0.4864, 0.1123, 0.8832) [2 per cell]
H (0.4943, 0.6833, 0.0347) [2 per cell]
C (0.0600, 0.7990, 0.2338) [2 per cell]
C (0.3631, 0.7365, 0.3188) [2 per cell]
C (0.4793, 0.2576, 0.8620) [2 per cell]
N (0.1324, 0.8585, 0.3603) [2 per cell]
Cl (0.1001, 0.7188, 0.7569) [2 per cell]
Cl (0.3201, 0.2122, 0.3806) [2 per cell]

---

5.
Below is a relaxed Ca2ZrMn crystal, with properties calculated at the PBE-GGA level.

Cell lengths 3.3512, 4.9625, 6.4888 Å; angles 90.00, 90.00, 90.00 degrees
Space group Pmmm (No. 47)
One atom of each set of equivalent atoms:
Ca (0.0000, 0.0000, 0.2445) [2 per cell]
Zr (0.5000, 0.5000, 0.5000) [1 per cell]
Mn (0.5000, 0.5000, 0.0000) [1 per cell]

Values from the calculation:
formation enthalpy at 0 K: 559 meV/atom
energy above the most stable polymorph in this dataset: 359 meV per atom

---

6.
Below is a relaxed PmGaPdRh crystal, with properties calculated at the PBE-GGA level.

Cell lengths 6.6578, 6.6578, 6.6578 Å; angles 90.00, 90.00, 90.00 degrees
Space group F-43m (No. 216)
One atom of each set of equivalent atoms:
Pm (0.0000, 0.0000, 0.0000) [4 per cell]
Ga (0.0000, 0.0000, 0.5000) [4 per cell]
Pd (0.2500, 0.2500, 0.2500) [4 per cell]
Rh (0.2500, 0.2500, 0.7500) [4 per cell]

Values from the calculation:
formation enthalpy at 0 K: -656 meV/atom

---

7.
Below is a relaxed HfCd2Sb crystal, with properties calculated at the PBE-GGA level.

Cell lengths 3.2213, 3.2213, 33.7455 Å; angles 90.00, 90.00, 120.00 degrees
Space group R-3m (No. 166, hexagonal axes)
One atom of each set of equivalent atoms:
Hf (0.0000, 0.0000, 0.0000) [3 per cell]
Cd (0.0000, 0.0000, 0.0866) [6 per cell]
Sb (0.0000, 0.0000, 0.5000) [3 per cell]

Values from the calculation:
ΔE_f (raw): 0.39 eV/atom

---

8.
Below is a relaxed KLaIr2 crystal, with properties calculated at the PBE-GGA level.

Cell lengths 4.5041, 4.5041, 8.5328 Å; angles 90.00, 90.00, 90.00 degrees
Space group I4/mmm (No. 139)
One atom of each set of equivalent atoms:
K (0.0000, 0.0000, 0.0000) [2 per cell]
La (0.0000, 0.0000, 0.5000) [2 per cell]
Ir (0.0000, 0.5000, 0.2500) [4 per cell]

Values from the calculation:
formation enthalpy at 0 K: 352 meV/atom
energy above the most stable polymorph in this dataset: 511 meV per atom

---

9.
Below is a relaxed ZrCrTc2 crystal, with properties calculated at the PBE-GGA level.

Cell lengths 3.1309, 4.4415, 8.9385 Å; angles 90.00, 90.00, 90.00 degrees
Space group Imm2 (No. 44)
One atom of each set of equivalent atoms:
Zr (0.0000, 0.0000, 0.0000) [2 per cell]
Cr (0.0000, 0.5000, 0.7559) [2 per cell]
Tc (0.0000, 0.0000, 0.4937) [2 per cell]
Tc (0.0000, 0.5000, 0.2422) [2 per cell]

Values from the calculation:
formation enthalpy at 0 K: -7 meV/atom

---

10.
Below is a relaxed Mo2IrOs crystal, with properties calculated at the PBE-GGA level.

Cell lengths 2.7932, 2.7835, 15.9674 Å; angles 90.00, 90.00, 90.00 degrees
Space group Amm2 (No. 38)
One atom of each set of equivalent atoms:
Mo (0.0000, 0.0000, 0.0000) [2 per cell]
Mo (0.0000, 0.0000, 0.2426) [2 per cell]
Ir (0.5000, 0.0000, 0.6258) [2 per cell]
Os (0.5000, 0.0000, 0.3830) [2 per cell]

Values from the calculation:
formation enthalpy at 0 K: 93 meV/atom
energy above the most stable polymorph in this dataset: 225 meV per atom

---

11.
Below is a relaxed LaTb2Dy2 crystal, with properties calculated at the PBE-GGA level.

Cell lengths 9.4946, 9.4946, 3.7379 Å; angles 90.00, 90.00, 90.00 degrees
Space group P4/mbm (No. 127)
One atom of each set of equivalent atoms:
La (0.0000, 0.0000, 0.0000) [2 per cell]
Tb (0.1245, 0.3755, 0.0000) [4 per cell]
Dy (0.1716, 0.6716, 0.5000) [4 per cell]

Values from the calculation:
formation enthalpy at 0 K: 80 meV/atom
energy above the most stable polymorph in this dataset: 55 meV per atom

---

12.
Below is a relaxed TcSb2As crystal, with properties calculated at the PBE-GGA level.

Cell lengths 6.8446, 6.8446, 6.8446 Å; angles 90.00, 90.00, 90.00 degrees
Space group Fm-3m (No. 225)
One atom of each set of equivalent atoms:
Tc (0.0000, 0.0000, 0.0000) [4 per cell]
Sb (0.2500, 0.2500, 0.2500) [8 per cell]
As (0.0000, 0.0000, 0.5000) [4 per cell]

Values from the calculation:
ΔE_f (raw): 0.52 eV/atom
energy above the most stable polymorph in this dataset: 464 meV per atom

---

Number 1: total energy -7.1422 eV/atom. Number 2: total energy -6.7124 eV/atom. Number 3: total energy -5.1706 eV/atom. Number 4: total energy -5.1755 eV/atom. Number 5: total energy -4.8714 eV/atom. Number 6: total energy -5.7367 eV/atom. Number 7: total energy -3.5890 eV/atom. Number 8: total energy -5.5843 eV/atom. Number 9: total energy -9.7327 eV/atom. Number 10: total energy -10.3456 eV/atom. Number 11: total energy -4.5989 eV/atom. Number 12: total energy -5.2984 eV/atom.